(1)
Entry from Alexandria: an optimized crystal structure of Cs2CdAu2I6 (PBE-GGA).

Values from the calculation:
* symmetry: C2/m (12)
* energy relative to the elements, uncorrected: -0.70 eV/atom

Lattice parameters (Å, degrees): 8.4480 8.8317 8.7468 116.85 90.00 118.57
Atoms (fractional coordinates):
I1 0.2190 0.9164 0.2202
I2 0.6974 0.9164 0.2202
I3 0.2585 0.5170 0.3056
I4 0.7415 0.4830 0.6944
I5 0.7810 0.0836 0.7798
I6 0.3026 0.0836 0.7798
Au1 0.9260 0.8520 0.7394
Au2 0.0740 0.1480 0.2606
Cd1 0.5000 0.0000 0.5000
Cs1 0.2668 0.5336 0.7743
Cs2 0.7332 0.4664 0.2257

---

(2)
Entry from Alexandria: an optimized crystal structure of CsGaHg14 (PBE-GGA).

Values from the calculation:
* symmetry: Amm2 (38)
* energy of formation from the pure elements: -0.03 eV/atom

Lattice parameters (Å, degrees): 6.3355 10.4128 8.1385 90.00 90.00 107.71
Atoms (fractional coordinates):
Hg1 0.6937 0.8576 0.5000
Hg2 0.2041 0.4083 0.0000
Hg3 0.1639 0.8576 0.5000
Hg4 0.1864 0.8937 0.0000
Hg5 0.8018 0.6036 0.2889
Hg6 0.6946 0.3892 0.0000
Hg7 0.8328 0.1539 0.7848
Hg8 0.3449 0.6899 0.7862
Hg9 0.3211 0.1539 0.2152
Hg10 0.8018 0.6036 0.7111
Hg11 0.7073 0.8937 0.0000
Hg12 0.8328 0.1539 0.2152
Hg13 0.3449 0.6899 0.2138
Hg14 0.3211 0.1539 0.7848
Cs1 0.2044 0.4088 0.5000
Ga1 0.5444 0.0888 0.5000

---

(3)
Entry from Alexandria: an optimized crystal structure of GdDyHgAu (PBE-GGA).

Values from the calculation:
* symmetry: F-43m (216)
* energy of formation from the pure elements: -0.66 eV/atom

Lattice parameters (Å, degrees): 5.1976 5.1976 5.1976 60.00 60.00 60.00
Atoms (fractional coordinates):
Au1 0.7500 0.7500 0.7500
Gd1 0.5000 0.5000 0.5000
Hg1 0.2500 0.2500 0.2500
Dy1 0.0000 0.0000 0.0000

---

(4)
Entry from Alexandria: an optimized crystal structure of ThPaAu4 (PBE-GGA).

Values from the calculation:
* symmetry: Immm (71)
* energy of formation from the pure elements: -0.58 eV/atom

Lattice parameters (Å, degrees): 4.8179 5.8368 5.8369 68.39 65.62 65.62
Atoms (fractional coordinates):
Au1 0.3335 0.4224 0.4106
Au2 0.3335 0.9105 0.9224
Au3 0.6665 0.0895 0.0775
Au4 0.6665 0.5776 0.5894
Th1 0.0000 0.0000 0.5000
Pa1 0.0000 0.5000 0.0000

---

| no. | magnetization (μB per formula unit) | ρ (g/cm3) |
| --- | --- | --- |
| 1 | 0.00 | 5.18 |
| 2 | 0.00 | 9.78 |
| 3 | 7.18 | 12.00 |
| 4 | 1.12 | 15.71 |